Density functional theory data (PBE with a Hubbard U) for crystalline BaNiIrO6 at its relaxed geometry.

a b c (Å): 5.292 5.292 5.660
angles (deg): 90.00 90.00 120.00
Sites, in units of the cell vectors:
Ba1 0.000 0.000 0.000
Ni1 0.333 0.667 0.500
Ir1 0.667 0.333 0.500
O1 0.399 0.018 0.692
O2 0.399 0.381 0.308
O3 0.619 0.018 0.308
O4 0.619 0.601 0.692
O5 0.982 0.381 0.692
O6 0.982 0.601 0.308

Values from the calculation:
Raw total energy in Ha/atom: -0.218